Material: SbSeCl2
Method: DFT, PBE-GGA
State: optimized geometry

Its formation energy without anion corrections is -0.3420 eV/atom. The calculation puts the magnetic moment at 0.25 μB per formula unit. The energy relative to the lowest polymorph listed for this composition is 4.9 kJ per mole of atoms.

The space group is Cmmm (No. 65) and the conventional cell measures 5.4888, 13.9146 and 3.7122 Å, with angles of 90.00, 90.00 and 90.00 degrees. The distinct sites, in fractional coordinates, are Sb at (0.0000, 0.0000, 0.0000), Se at (0.0000, 0.5000, 0.0000) and Cl at (0.0000, 0.1370, 0.5000).


Material: MgAg2Rh2
Method: DFT, PBE-GGA
State: optimized geometry

The calculation puts the magnetic moment at 1.32 μB per formula unit. The energy relative to the lowest polymorph listed for this composition is 0.0 kJ per mole of atoms. For the formation enthalpy at 0 K, the calculation gives 0.1978 eV per atom.

The space group is P4/mbm (No. 127) and the conventional cell measures 6.7258, 6.7258 and 3.8919 Å, with angles of 90.00, 90.00 and 90.00 degrees. The distinct sites, in fractional coordinates, are Mg at (0.0000, 0.0000, 0.0000), Ag at (0.1668, 0.3332, 0.5000) and Rh at (0.1326, 0.6326, 0.0000).


Material: FeCoNiRh
Method: DFT, PBE-GGA
State: optimized geometry

The calculation puts the magnetic moment at 0.00 μB per formula unit. The energy relative to the lowest polymorph listed for this composition is 7.8 kJ per mole of atoms. For the formation enthalpy at 0 K, the calculation gives 0.1543 eV per atom.

The space group is I-4m2 (No. 119) and the conventional cell measures 3.5604, 3.5604 and 7.2489 Å, with angles of 90.00, 90.00 and 90.00 degrees. The distinct sites, in fractional coordinates, are Fe at (0.0000, 0.0000, 0.0000), Co at (0.0000, 0.0000, 0.5000), Ni at (0.0000, 0.5000, 0.7500) and Rh at (0.0000, 0.5000, 0.2500).


Material: Sr5Ge3
Method: DFT, PBE-GGA
State: optimized geometry

The calculation puts the magnetic moment at 0.14 μB per formula unit. For the formation enthalpy at 0 K, the calculation gives -0.5595 eV per atom.

The space group is I4/mcm (No. 140) and the conventional cell measures 8.1544, 8.1544 and 15.9888 Å, with angles of 90.00, 90.00 and 90.00 degrees. The distinct sites, in fractional coordinates, are Sr at (0.0000, 0.0000, 0.0000), Sr at (0.1782, 0.3218, 0.1411), Ge at (0.0000, 0.0000, 0.2500) and Ge at (0.1136, 0.3864, 0.5000).


Material: La2ZnInPt
Method: DFT, PBE-GGA
State: optimized geometry

The calculation puts the magnetic moment at 0.00 μB per formula unit. For the formation enthalpy at 0 K, the calculation gives -0.7215 eV per atom.

The space group is P2_1/m (No. 11) and the conventional cell measures 7.4470, 4.6686 and 7.9379 Å, with angles of 90.00, 107.72 and 90.00 degrees. The distinct sites, in fractional coordinates, are La at (0.1404, 0.2500, 0.3369), La at (0.2946, 0.2500, 0.9496), Zn at (0.4465, 0.7500, 0.3248), In at (0.3336, 0.7500, 0.6489) and Pt at (0.1173, 0.7500, 0.0794).


Material: CrSb2Pb
Method: DFT, PBE-GGA
State: optimized geometry

Its formation energy without anion corrections is 0.2272 eV/atom. The calculation puts the magnetic moment at 3.39 μB per formula unit.

The space group is Pm (No. 6) and the conventional cell measures 3.2588, 4.1872 and 8.4162 Å, with angles of 90.00, 90.65 and 90.00 degrees. The distinct sites, in fractional coordinates, are Cr at (0.0000, 0.0000, 0.0000), Sb at (0.4980, 0.5000, 0.8782), Sb at (0.5038, 0.0000, 0.2659) and Pb at (0.7873, 0.5000, 0.5120).


Material: NiHPt2
Method: DFT, PBE-GGA
State: optimized geometry

The calculation puts the magnetic moment at 0.79 μB per formula unit. The energy relative to the lowest polymorph listed for this composition is 9.0 kJ per mole of atoms.

The space group is Cm (No. 8) and the conventional cell measures 4.7626, 2.7154 and 7.7689 Å, with angles of 90.00, 107.53 and 90.00 degrees. The distinct sites, in fractional coordinates, are Ni at (0.0000, 0.0000, 0.0000), H at (0.0981, 0.5000, 0.5251), Pt at (0.1908, 0.0000, 0.7099) and Pt at (0.4766, 0.0000, 0.2892).


Material: CaMg2Tc2
Method: DFT, PBE-GGA
State: optimized geometry

The calculation puts the magnetic moment at 0.00 μB per formula unit. The energy relative to the lowest polymorph listed for this composition is 0.0 kJ per mole of atoms. For the formation enthalpy at 0 K, the calculation gives 0.2764 eV per atom.

The space group is P4/mbm (No. 127) and the conventional cell measures 8.0692, 8.0692 and 3.0492 Å, with angles of 90.00, 90.00 and 90.00 degrees. The distinct sites, in fractional coordinates, are Ca at (0.0000, 0.0000, 0.0000), Mg at (0.1859, 0.3141, 0.5000) and Tc at (0.0994, 0.5994, 0.0000).


Material: Mg3ScAg
Method: DFT, PBE-GGA
State: optimized geometry

The calculation puts the magnetic moment at 0.00 μB per formula unit. The energy relative to the lowest polymorph listed for this composition is 0.0 kJ per mole of atoms. For the formation enthalpy at 0 K, the calculation gives -0.1059 eV per atom.

The space group is Pnma (No. 62) and the conventional cell measures 9.7451, 3.2824 and 13.4999 Å, with angles of 90.00, 90.00 and 90.00 degrees. The distinct sites, in fractional coordinates, are Mg at (0.0950, 0.2500, 0.0681), Mg at (0.1203, 0.7500, 0.2599), Mg at (0.1276, 0.7500, 0.6740), Sc at (0.1477, 0.2500, 0.4676) and Ag at (0.1311, 0.2500, 0.8601).


Material: LaTb6Pm
Method: DFT, PBE-GGA
State: optimized geometry

The calculation puts the magnetic moment at 0.00 μB per formula unit. The energy relative to the lowest polymorph listed for this composition is 0.0 kJ per mole of atoms. For the formation enthalpy at 0 K, the calculation gives 0.0226 eV per atom.

The space group is P4/mmm (No. 123) and the conventional cell measures 5.0869, 5.0869 and 10.1768 Å, with angles of 90.00, 90.00 and 90.00 degrees. The distinct sites, in fractional coordinates, are La at (0.0000, 0.0000, 0.0000), Tb at (0.0000, 0.5000, 0.2523), Tb at (0.5000, 0.5000, 0.0000), Tb at (0.5000, 0.5000, 0.5000) and Pm at (0.0000, 0.0000, 0.5000).


Material: LiCaCe2Te4
Method: DFT, PBE-GGA
State: optimized geometry

Its formation energy without anion corrections is -1.3429 eV/atom. The calculation puts the magnetic moment at 0.06 μB per formula unit.

The space group is P2/m (No. 10) and the conventional cell measures 7.7454, 4.4690 and 7.7823 Å, with angles of 90.00, 109.37 and 90.00 degrees. The distinct sites, in fractional coordinates, are Li at (0.0000, 0.0000, 0.0000), Ca at (0.5000, 0.5000, 0.0000), Ce at (0.0000, 0.5000, 0.5000), Ce at (0.5000, 0.0000, 0.5000), Te at (0.2423, 0.5000, 0.2404) and Te at (0.2477, 0.0000, 0.7583).


Material: Pb3Au5Br12
Method: DFT, PBE-GGA
State: optimized geometry

Its formation energy without anion corrections is -0.3224 eV/atom. The calculation puts the magnetic moment at 0.00 μB per formula unit.

The space group is Ia-3d (No. 230) and the conventional cell measures 17.1358, 17.1358 and 17.1358 Å, with angles of 90.00, 90.00 and 90.00 degrees. The distinct sites, in fractional coordinates, are Pb at (0.0000, 0.2500, 0.1250), Au at (0.0000, 0.0000, 0.0000), Au at (0.0000, 0.2500, 0.3750) and Br at (0.0239, 0.0627, 0.6508).